Record 1
! KRhBr2, optimized geometry, DFT PBEsol; values from VASP
! crystal system: orthorhombic
! distance to the lowest polymorph of the same formula: 0.0 kJ/mol of atoms
! space-group type: Immm, No. 71
! ΔE_f (raw): -0.591 eV per atom
&SYSTEM
  ibrav = 0, nat = 4, ntyp = 3
/
ATOMIC_SPECIES
K 39.10 K.upf
Rh 102.91 Rh.upf
Br 79.90 Br.upf
CELL_PARAMETERS angstrom
-1.841 2.934 4.823
1.841 -2.934 4.823
1.841 2.934 -4.823
ATOMIC_POSITIONS angstrom
K 0.000 0.000 0.000
Rh 0.000 0.000 4.823
Br 1.841 0.000 3.209
Br 0.000 2.934 1.614

---

Record 2
! LuMgIn, optimized geometry, DFT PBEsol; values from VASP
! crystal system: hexagonal
! formation enthalpy at 0 K: -367 meV per atom
! space-group type: P-62m, No. 189
&SYSTEM
  ibrav = 0, nat = 9, ntyp = 3
/
ATOMIC_SPECIES
Lu 174.97 Lu.upf
Mg 24.30 Mg.upf
In 114.82 In.upf
CELL_PARAMETERS angstrom
7.323 0.000 0.000
-3.662 6.342 0.000
0.000 0.000 4.572
ATOMIC_POSITIONS angstrom
Lu -2.061 3.569 0.000
Lu 1.601 2.773 0.000
Lu 4.122 0.000 0.000
Mg -0.886 1.534 2.286
Mg 1.771 0.000 2.286
Mg 2.776 4.809 2.286
In 0.000 0.000 0.000
In 0.000 4.228 2.286
In 3.662 2.114 2.286

---

Record 3
! Pa, optimized geometry, DFT PBEsol; values from VASP
! crystal system: tetragonal
! distance to the lowest polymorph of the same formula: 0.0 kJ/mol of atoms
! formation enthalpy at 0 K: 0 meV per atom
! space-group type: I4/mmm, No. 139
&SYSTEM
  ibrav = 0, nat = 1, ntyp = 1
/
ATOMIC_SPECIES
Pa 231.04 Pa.upf
CELL_PARAMETERS angstrom
-1.935 1.935 1.570
1.935 -1.935 1.570
1.935 1.935 -1.570
ATOMIC_POSITIONS angstrom
Pa 0.000 0.000 0.000

---

Record 4
! Sc2Cu2Au, optimized geometry, DFT PBEsol; values from VASP
! crystal system: tetragonal
! formation enthalpy at 0 K: -430 meV per atom
! space-group type: P4/mbm, No. 127
&SYSTEM
  ibrav = 0, nat = 10, ntyp = 3
/
ATOMIC_SPECIES
Sc 44.96 Sc.upf
Cu 63.55 Cu.upf
Au 196.97 Au.upf
CELL_PARAMETERS angstrom
6.939 0.000 0.000
0.000 6.939 0.000
0.000 0.000 3.407
ATOMIC_POSITIONS angstrom
Sc 1.228 2.242 0.000
Sc 2.242 5.711 0.000
Sc 4.697 1.228 0.000
Sc 5.711 4.697 0.000
Cu 0.849 4.319 1.704
Cu 2.620 0.849 1.704
Cu 4.319 6.090 1.704
Cu 6.090 2.620 1.704
Au 0.000 0.000 1.704
Au 3.469 3.469 1.704

---

Record 5
! Y2MoI2, optimized geometry, DFT PBEsol; values from VASP
! crystal system: tetragonal
! space-group type: I4/mmm, No. 139
! ΔE_f (raw): 0.236 eV per atom
&SYSTEM
  ibrav = 0, nat = 5, ntyp = 3
/
ATOMIC_SPECIES
Y 88.91 Y.upf
Mo 95.94 Mo.upf
I 126.90 I.upf
CELL_PARAMETERS angstrom
-2.907 2.907 4.171
2.907 -2.907 4.171
2.907 2.907 -4.171
ATOMIC_POSITIONS angstrom
Y 2.907 0.000 2.086
Y 0.000 2.907 2.086
Mo 0.000 0.000 0.000
I 0.000 0.000 2.616
I 0.000 0.000 5.727

---

Record 6
! K2MgSc, optimized geometry, DFT PBEsol; values from VASP
! crystal system: monoclinic
! formation enthalpy at 0 K: 459 meV per atom
! space-group type: Cm, No. 8
&SYSTEM
  ibrav = 0, nat = 4, ntyp = 3
/
ATOMIC_SPECIES
K 39.10 K.upf
Mg 24.30 Mg.upf
Sc 44.96 Sc.upf
CELL_PARAMETERS angstrom
5.263 -1.705 0.000
5.263 1.705 0.000
-0.543 0.000 9.334
ATOMIC_POSITIONS angstrom
K 0.000 0.000 0.000
K 2.127 0.000 5.978
Mg 7.742 0.000 2.465
Sc 4.825 0.000 3.504

---

Record 7
! Mn3Cr3Sb2O16, optimized geometry, DFT PBEsol; values from VASP
! crystal system: monoclinic
! space-group type: Cm, No. 8
! ΔE_f (raw): -1.622 eV per atom
&SYSTEM
  ibrav = 0, nat = 24, ntyp = 4
/
ATOMIC_SPECIES
Mn 54.94 Mn.upf
Cr 52.00 Cr.upf
Sb 121.76 Sb.upf
O 16.00 O.upf
CELL_PARAMETERS angstrom
4.986 -2.868 0.000
4.986 2.868 0.000
-0.182 0.000 9.183
ATOMIC_POSITIONS angstrom
Mn 0.000 0.000 0.000
Mn 4.064 1.424 4.609
Mn 4.064 -1.424 4.609
Cr 2.484 1.388 0.023
Cr 2.484 -1.388 0.023
Cr 6.528 0.000 4.628
Sb 1.604 0.000 2.565
Sb 4.851 0.000 7.164
O 1.443 0.000 8.213
O 3.974 1.454 8.170
O 5.862 1.596 1.125
O 3.124 0.000 1.196
O 5.584 1.290 5.735
O 3.381 0.000 5.708
O 4.859 0.000 3.655
O 7.431 1.399 3.586
O 3.974 -1.454 8.170
O 6.535 0.000 8.170
O 5.584 -1.290 5.735
O 8.304 0.000 0.861
O 8.244 0.000 5.506
O 5.862 -1.596 1.125
O 7.431 -1.399 3.586
O 9.867 0.000 3.600

---

Record 8
! NbIn2SbRh, optimized geometry, DFT PBEsol; values from VASP
! crystal system: tetragonal
! space-group type: P4/mmm, No. 123
! ΔE_f (raw): 1.142 eV per atom
&SYSTEM
  ibrav = 0, nat = 5, ntyp = 4
/
ATOMIC_SPECIES
Nb 92.91 Nb.upf
In 114.82 In.upf
Sb 121.76 Sb.upf
Rh 102.91 Rh.upf
CELL_PARAMETERS angstrom
5.232 0.000 0.000
0.000 5.232 0.000
0.000 0.000 5.148
ATOMIC_POSITIONS angstrom
Nb 0.000 0.000 0.000
In 0.000 2.616 0.000
In 2.616 0.000 0.000
Sb 0.000 0.000 2.574
Rh 2.616 2.616 2.574

---

Record 9
! LiCdIn, optimized geometry, DFT PBEsol; values from VASP
! crystal system: orthorhombic
! distance to the lowest polymorph of the same formula: 0.0 kJ/mol of atoms
! formation enthalpy at 0 K: -208 meV per atom
! space-group type: Imm2, No. 44
&SYSTEM
  ibrav = 0, nat = 3, ntyp = 3
/
ATOMIC_SPECIES
Li 6.94 Li.upf
Cd 112.41 Cd.upf
In 114.82 In.upf
CELL_PARAMETERS angstrom
-1.585 2.174 4.362
1.585 -2.174 4.362
1.585 2.174 -4.362
ATOMIC_POSITIONS angstrom
Li 0.000 0.000 0.000
Cd 0.000 0.000 2.923
In 0.000 0.000 5.822

---

Record 10
! CaAl2Co2, optimized geometry, DFT PBEsol; values from VASP
! crystal system: tetragonal
! formation enthalpy at 0 K: -276 meV per atom
! space-group type: P4/mbm, No. 127
&SYSTEM
  ibrav = 0, nat = 10, ntyp = 3
/
ATOMIC_SPECIES
Ca 40.08 Ca.upf
Al 26.98 Al.upf
Co 58.93 Co.upf
CELL_PARAMETERS angstrom
7.202 0.000 0.000
0.000 7.202 0.000
0.000 0.000 2.745
ATOMIC_POSITIONS angstrom
Ca 0.000 0.000 0.000
Ca 3.601 3.601 0.000
Al 0.993 2.608 1.372
Al 2.608 6.210 1.372
Al 4.594 0.993 1.372
Al 6.210 4.594 1.372
Co 1.093 4.694 0.000
Co 2.508 1.093 0.000
Co 4.694 6.110 0.000
Co 6.110 2.508 0.000

---

Record 11
! Be2ReTe, optimized geometry, DFT PBEsol; values from VASP
! crystal system: orthorhombic
! space-group type: Imm2, No. 44
! ΔE_f (raw): 0.512 eV per atom
&SYSTEM
  ibrav = 0, nat = 4, ntyp = 3
/
ATOMIC_SPECIES
Be 9.01 Be.upf
Re 186.21 Re.upf
Te 127.60 Te.upf
CELL_PARAMETERS angstrom
-1.621 2.129 3.847
1.621 -2.129 3.847
1.621 2.129 -3.847
ATOMIC_POSITIONS angstrom
Be 0.000 0.000 0.000
Be 0.000 2.129 2.312
Re 0.000 0.000 4.148
Te 1.621 0.000 2.006

---

Record 12
! CsK3Te, optimized geometry, DFT PBEsol; values from VASP
! crystal system: cubic
! space-group type: Pm-3m, No. 221
! ΔE_f (raw): 0.338 eV per atom
&SYSTEM
  ibrav = 0, nat = 5, ntyp = 3
/
ATOMIC_SPECIES
Cs 132.91 Cs.upf
K 39.10 K.upf
Te 127.60 Te.upf
CELL_PARAMETERS angstrom
7.119 0.000 0.000
0.000 7.119 0.000
0.000 0.000 7.119
ATOMIC_POSITIONS angstrom
Cs 0.000 0.000 0.000
K 0.000 0.000 3.559
K 0.000 3.559 0.000
K 3.559 0.000 0.000
Te 3.559 3.559 3.559

---

| no. | calculated total energy (eV/cell) |
| --- | --- |
| 1 | -15.4 |
| 2 | -32.0 |
| 3 | -10.2 |
| 4 | -55.9 |
| 5 | -27.8 |
| 6 | -8.8 |
| 7 | -192.0 |
| 8 | -23.8 |
| 9 | -6.8 |
| 10 | -54.3 |
| 11 | -22.8 |
| 12 | -6.2 |